A plane-wave DFT calculation with PBE was carried out for Ag2Te2O7 after structural relaxation.

Calculated values
The calculation puts the total energy at -102.65 eV per cell. The calculation puts the spin magnetization at 0.0 μB/cell. The value obtained for the uncorrected formation energy is -4.6 eV per formula unit.

Cell lengths 7.5149, 6.6950, 5.7787 Å; angles 90.00, 97.41, 90.00 degrees
Space group C2/m (No. 12)
Unique sites:
Ag 0.0000 0.2271 0.0000 x4
Te 0.2231 0.5000 0.5009 x4
O 0.0000 0.0000 0.5000 x2
O 0.0146 0.5000 0.7106 x4
O 0.2299 0.2414 0.2784 x8



A plane-wave DFT calculation with PBE was carried out for Ag2Te3O8 after structural relaxation.

Calculated values
The calculation puts the total energy at -127.24 eV per cell. The calculation puts the spin magnetization at 0.0 μB/cell. The value obtained for the uncorrected formation energy is -8.8 eV per formula unit.

Cell lengths 11.6723, 6.3231, 5.8951 Å; angles 90.00, 99.37, 90.00 degrees
Space group C2/m (No. 12)
Unique sites:
Ag 0.1906 0.0000 0.0468 x4
Te 0.0000 0.2456 0.5000 x4
Te 0.0000 0.5000 0.0000 x2
O 0.0812 0.2728 0.1976 x8
O 0.1026 0.0000 0.6218 x4
O 0.1176 0.5000 0.7989 x4



A plane-wave DFT calculation with PBE was carried out for Ag4TeO5 after structural relaxation.

Calculated values
The calculation puts the total energy at -348.60 eV per cell. The calculation puts the spin magnetization at 0.0 μB/cell. The value obtained for the uncorrected formation energy is -4.2 eV per formula unit.

Cell lengths 16.3221, 6.3585, 11.8885 Å; angles 90.00, 104.48, 90.00 degrees
Space group C2/c (No. 15)
Unique sites:
Ag 0.0000 0.0749 0.2500 x4
Ag 0.0752 0.2070 0.0443 x8
Ag 0.0840 0.3659 0.7179 x8
Ag 0.2123 0.0085 0.2423 x8
Ag 0.2500 0.2500 0.0000 x4
Te 0.1472 0.2909 0.4724 x8
O 0.0681 0.4628 0.3671 x8
O 0.0712 0.1726 0.5588 x8
O 0.1269 0.0474 0.3681 x8
O 0.1738 0.4730 0.0837 x8
O 0.2466 0.1293 0.5844 x8



A plane-wave DFT calculation with PBE was carried out for Ag3TeO6 after structural relaxation.

Calculated values
The calculation puts the total energy at -86.86 eV per cell. The calculation puts the spin magnetization at 0.0 μB/cell. The value obtained for the uncorrected formation energy is -2.0 eV per formula unit.

Cell lengths 6.3484, 6.3484, 7.7107 Å; angles 90.00, 90.00, 90.00 degrees
Space group I4/mmm (No. 139)
Unique sites:
Ag 0.0000 0.0000 0.0000 x2
Ag 0.0000 0.5000 0.2500 x4
Te 0.0000 0.0000 0.5000 x2
O 0.0000 0.0000 0.2548 x4
O 0.0000 0.3083 0.5000 x8



A plane-wave DFT calculation with PBE was carried out for AgTe2O5 after structural relaxation.

Calculated values
The calculation puts the total energy at -76.27 eV per cell. The calculation puts the spin magnetization at 0.0 μB/cell. The value obtained for the uncorrected formation energy is -4.2 eV per formula unit.

Cell lengths 3.1628, 5.7878, 12.3848 Å; angles 90.00, 90.00, 90.00 degrees
Space group Immm (No. 71)
Unique sites:
Ag 0.0000 0.0000 0.0000 x2
Te 0.0000 0.5000 0.1558 x4
O 0.0000 0.2426 0.3583 x8
O 0.0000 0.5000 0.0000 x2



A plane-wave DFT calculation with PBE was carried out for Ag4TeO5 after structural relaxation.

Calculated values
The calculation puts the total energy at -86.90 eV per cell. The calculation puts the spin magnetization at 0.0 μB/cell. The value obtained for the uncorrected formation energy is -4.1 eV per formula unit.

Cell lengths 8.5505, 8.5505, 3.9515 Å; angles 90.00, 90.00, 90.00 degrees
Space group I4/m (No. 87)
Unique sites:
Ag 0.1183 0.6426 0.0000 x8
Te 0.0000 0.0000 0.5000 x2
O 0.0000 0.0000 0.0000 x2
O 0.0814 0.7850 0.5000 x8



A plane-wave DFT calculation with PBE was carried out for Ag3TeO after structural relaxation.

Calculated values
The calculation puts the total energy at -16.49 eV per cell. The calculation puts the spin magnetization at 0.0 μB/cell. The value obtained for the uncorrected formation energy is 0.2 eV per formula unit.

Cell lengths 4.5829, 4.5829, 4.5829 Å; angles 90.00, 90.00, 90.00 degrees
Space group Pm-3m (No. 221)
Unique sites:
Ag 0.0000 0.0000 0.5000 x3
Te 0.5000 0.5000 0.5000 x1
O 0.0000 0.0000 0.0000 x1



A plane-wave DFT calculation with PBE was carried out for AgTe3O after structural relaxation.

Calculated values
The calculation puts the total energy at -16.01 eV per cell. The calculation puts the spin magnetization at 0.0 μB/cell. The value obtained for the uncorrected formation energy is 1.2 eV per formula unit.

Cell lengths 4.8528, 4.8528, 4.8528 Å; angles 90.00, 90.00, 90.00 degrees
Space group Pm-3m (No. 221)
Unique sites:
Ag 0.0000 0.0000 0.0000 x1
Te 0.0000 0.5000 0.5000 x3
O 0.5000 0.5000 0.5000 x1



A plane-wave DFT calculation with PBE was carried out for Ag4TeO4 after structural relaxation.

Calculated values
The calculation puts the total energy at -72.65 eV per cell. The calculation puts the spin magnetization at 0.0 μB/cell. The value obtained for the uncorrected formation energy is -1.9 eV per formula unit.

Cell lengths 8.3696, 8.3696, 4.2418 Å; angles 90.00, 90.00, 90.00 degrees
Space group I4/m (No. 87)
Unique sites:
Ag 0.1069 0.6942 0.0000 x8
Te 0.0000 0.0000 0.5000 x2
O 0.0470 0.7579 0.5000 x8



A plane-wave DFT calculation with PBE was carried out for AgTeO4 after structural relaxation.

Calculated values
The calculation puts the total energy at -116.26 eV per cell. The calculation puts the spin magnetization at 0.0 μB/cell. The value obtained for the uncorrected formation energy is -3.2 eV per formula unit.

Cell lengths 6.7334, 11.4512, 5.0433 Å; angles 90.00, 119.31, 90.00 degrees
Space group C2/c (No. 15)
Unique sites:
Ag 0.0000 0.1771 0.2500 x4
Te 0.0000 0.4222 0.7500 x4
O 0.1744 0.3012 0.6967 x8
O 0.1935 0.4551 0.1909 x8



A plane-wave DFT calculation with PBE was carried out for Ag8TeO6 after structural relaxation.

Calculated values
The calculation puts the total energy at -166.07 eV per cell. The calculation puts the spin magnetization at 0.0 μB/cell. The value obtained for the uncorrected formation energy is 0.3 eV per formula unit.

Cell lengths 8.5544, 8.5544, 11.9393 Å; angles 90.00, 90.00, 120.00 degrees
Space group R-3 (No. 148, hexagonal axes)
Unique sites:
Ag 0.0000 0.0000 0.2424 x6
Ag 0.0069 0.6414 0.2692 x18
Te 0.0000 0.0000 0.0000 x3
O 0.0318 0.4405 0.9003 x18



A plane-wave DFT calculation with PBE was carried out for Ag5TeO6 after structural relaxation.

Calculated values
The calculation puts the total energy at -103.02 eV per cell. The calculation puts the spin magnetization at 0.0 μB/cell. The value obtained for the uncorrected formation energy is -4.4 eV per formula unit.

Cell lengths 6.1887, 10.2363, 6.0118 Å; angles 90.00, 115.14, 90.00 degrees
Space group C2/m (No. 12)
Unique sites:
Ag 0.0000 0.0000 0.0000 x2
Ag 0.0000 0.1745 0.5000 x4
Ag 0.0000 0.3420 0.0000 x4
Te 0.0000 0.5000 0.5000 x2
O 0.1897 0.3630 0.7390 x8
O 0.2321 0.5000 0.3559 x4